{"formula": "Mg5Ir", "functional": "PBE-GGA", "state": "optimized geometry", "total_magnetization_mub_per_fu": 0.00, "formation_energy_ev_per_atom": -0.17, "final_energy_ev_per_atom": -2.9758, "cell": [[-1.969, 5.111, 0.876], [-4.485, 3.110, 0.991], [5.754, -6.922, 5.458]], "species": ["Ir", "Mg", "Mg", "Mg", "Mg", "Mg"], "fractional_positions": [[0.973, 0.973, 0.945], [0.188, 0.188, 0.804], [0.343, 0.343, 0.654], [0.472, 0.472, 0.444], [0.601, 0.601, 0.235], [0.756, 0.756, 0.085]]}